[1]
Below is a relaxed structure of KVAsSe2, with properties calculated at the GGA-PBE level.

a b c (Å): 4.9588 4.9588 4.8612
angles (deg): 90.00 90.00 90.00
Element x y z (fractional)
K 0.0000 0.0000 0.0000
V 0.5000 0.5000 0.5000
As 0.5000 0.5000 0.0000
Se 0.0000 0.5000 0.5000
Se 0.5000 0.0000 0.5000

Formation energy without anion corrections, eV/atom: -0.41
Excess energy over the best structure of this formula in the dataset, meV per atom: 0

[2]
Below is a relaxed structure of YCoMo2, with properties calculated at the GGA-PBE level.

a b c (Å): 9.7150 9.7150 9.7150
angles (deg): 17.00 17.00 17.00
Element x y z (fractional)
Y 0.0000 0.0000 0.0000
Co 0.5000 0.5000 0.5000
Mo 0.2370 0.2370 0.2370
Mo 0.7630 0.7630 0.7630

Formation energy from the elements, meV per atom: 654
Excess energy over the best structure of this formula in the dataset, meV per atom: 458

[3]
Below is a relaxed structure of LaPmIr, with properties calculated at the GGA-PBE level.

a b c (Å): 4.2295 4.2295 6.5026
angles (deg): 90.00 90.00 120.00
Element x y z (fractional)
La 0.0000 0.0000 0.0000
Pm 0.3333 0.6667 0.5474
Ir 0.6667 0.3333 0.7729

Formation energy from the elements, meV per atom: -556
Excess energy over the best structure of this formula in the dataset, meV per atom: 34

[4]
Below is a relaxed structure of Pm8Pr6Y, with properties calculated at the GGA-PBE level.

a b c (Å): 8.8850 8.8850 8.8850
angles (deg): 63.31 63.31 63.31
Element x y z (fractional)
Pm 0.0773 0.0773 0.0773
Pm 0.2163 0.6130 0.2512
Pm 0.2512 0.2163 0.6130
Pm 0.3870 0.7488 0.7837
Pm 0.6130 0.2512 0.2163
Pm 0.7488 0.7837 0.3870
Pm 0.7837 0.3870 0.7488
Pm 0.9227 0.9227 0.9227
Pr 0.0382 0.5980 0.7377
Pr 0.2623 0.9618 0.4020
Pr 0.4020 0.2623 0.9618
Pr 0.5980 0.7377 0.0382
Pr 0.7377 0.0382 0.5980
Pr 0.9618 0.4020 0.2623
Y 0.5000 0.5000 0.5000

Formation energy from the elements, meV per atom: 110
Excess energy over the best structure of this formula in the dataset, meV per atom: 0

[5]
Below is a relaxed structure of TmMg2Zn, with properties calculated at the GGA-PBE level.

a b c (Å): 9.9226 9.9226 9.9226
angles (deg): 19.34 19.34 19.34
Element x y z (fractional)
Tm 0.0000 0.0000 0.0000
Mg 0.5721 0.5721 0.5721
Mg 0.7606 0.7606 0.7606
Zn 0.1662 0.1662 0.1662

Formation energy from the elements, meV per atom: 33

[6]
Below is a relaxed structure of Nd8SmIn5, with properties calculated at the GGA-PBE level.

a b c (Å): 8.3717 8.3717 8.3717
angles (deg): 109.09 109.09 110.23
Element x y z (fractional)
Nd 0.1413 0.2251 0.7696
Nd 0.1416 0.7429 0.7629
Nd 0.2571 0.0200 0.3988
Nd 0.4555 0.3718 0.2304
Nd 0.6212 0.8584 0.6012
Nd 0.6282 0.8587 0.0838
Nd 0.7749 0.5445 0.9162
Nd 0.9800 0.3788 0.2371
Sm 0.7500 0.2500 0.5000
In 0.0000 0.0000 0.0000
In 0.2535 0.6404 0.1230
In 0.3596 0.4825 0.6131
In 0.5175 0.1305 0.8770
In 0.8695 0.7465 0.3869

Formation energy from the elements, meV per atom: -228

[7]
Below is a relaxed structure of LiMgAs, with properties calculated at the GGA-PBE level.

a b c (Å): 3.1538 3.1538 6.7195
angles (deg): 90.00 90.00 120.00
Element x y z (fractional)
Li 0.0000 0.0000 0.0000
Mg 0.3333 0.6667 0.3727
As 0.6667 0.3333 0.7042

Formation energy from the elements, meV per atom: -161